Entry 1:
{"formula": "Zn5NiI12", "functional": "PBE", "state": "relaxed", "lattice_angstrom": [[7.0590, 0.0001, 0.0052], [3.5295, 6.1158, 0.0032], [0.0056, 0.0015, 15.3891]], "species": ["Zn", "Zn", "Zn", "Zn", "Zn", "Ni", "I", "I", "I", "I", "I", "I", "I", "I", "I", "I", "I", "I"], "frac_coords": [[0.5000, 0.0000, 0.5000], [0.1668, 0.6663, 0.5000], [0.8332, 0.3337, 0.5000], [0.6668, 0.6665, 0.0000], [0.3333, 0.3335, 0.0000], [0.0000, 0.0000, 0.0000], [0.8334, 0.0000, 0.3939], [0.1666, 0.0000, 0.6061], [0.6788, 0.0000, 0.8974], [0.3212, 0.0000, 0.1026], [0.3218, 0.6784, 0.8973], [0.9998, 0.6784, 0.1027], [0.0002, 0.3216, 0.8973], [0.6782, 0.3216, 0.1027], [0.4997, 0.3335, 0.6064], [0.8331, 0.6665, 0.6064], [0.1669, 0.3335, 0.3936], [0.5003, 0.6665, 0.3936]], "space_group": "C2/m, No. 12", "formation_energy_uncorrected_ev_per_fu": -7.11, "e_tot_ev_per_atom": -2.104}


Entry 2:
{"formula": "ZnNiI3", "functional": "PBE", "state": "relaxed", "lattice_angstrom": [[5.3318, 0.0000, 0.0000], [0.0000, 5.3318, 0.0000], [0.0000, 0.0000, 5.3318]], "species": ["I", "I", "I", "Ni", "Zn"], "frac_coords": [[0.0000, 0.5000, 0.0000], [0.0000, 0.0000, 0.5000], [0.5000, 0.0000, 0.0000], [0.0000, 0.0000, 0.0000], [0.5000, 0.5000, 0.5000]], "space_group": "Pm-3m, No. 221", "formation_energy_uncorrected_ev_per_fu": 1.15, "e_tot_ev_per_atom": -2.111}


Entry 3:
{"formula": "Zn2NiI", "functional": "PBE", "state": "relaxed", "lattice_angstrom": [[4.6117, 0.8166, 0.9140], [1.3514, 4.1495, 1.9302], [1.5498, 0.1407, 4.5110]], "species": ["I", "Ni", "Zn", "Zn"], "frac_coords": [[0.5000, 0.5000, 0.5000], [0.0000, 0.0000, 0.0000], [0.2500, 0.2500, 0.2500], [0.7500, 0.7500, 0.7500]], "space_group": "Fm-3m, No. 225", "formation_energy_uncorrected_ev_per_fu": 2.98, "e_tot_ev_per_atom": -1.726}


Entry 4:
{"formula": "ZnNi3I", "functional": "PBE", "state": "relaxed", "lattice_angstrom": [[4.4435, 0.0000, 0.0000], [0.0000, 4.4435, 0.0000], [0.0000, 0.0000, 4.4435]], "species": ["I", "Ni", "Ni", "Ni", "Zn"], "frac_coords": [[0.5000, 0.5000, 0.5000], [0.0000, 0.5000, 0.0000], [0.0000, 0.0000, 0.5000], [0.5000, 0.0000, 0.0000], [0.0000, 0.0000, 0.0000]], "space_group": "Pm-3m, No. 221", "formation_energy_uncorrected_ev_per_fu": 4.16, "e_tot_ev_per_atom": -3.201}


Entry 5:
{"formula": "ZnNiI", "functional": "PBE", "state": "relaxed", "lattice_angstrom": [[3.5422, 0.0000, 0.0000], [-1.7711, 5.4867, 0.0000], [0.0000, 0.0000, 6.9588]], "species": ["Ni", "Ni", "Zn", "Zn", "I", "I"], "frac_coords": [[0.6301, 0.2602, 0.0000], [0.3884, 0.7768, 0.5000], [0.7779, 0.5558, 0.6988], [0.7779, 0.5558, 0.3012], [0.0461, 0.0922, 0.7536], [0.0461, 0.0922, 0.2464]], "space_group": "Amm2, No. 38", "formation_energy_uncorrected_ev_per_fu": 1.17, "e_tot_ev_per_atom": -2.478}


Entry 6:
{"formula": "Zn2NiI2", "functional": "PBE", "state": "relaxed", "lattice_angstrom": [[-0.9250, 4.0693, 3.9294], [-4.5520, 1.8284, -2.9651], [-4.9607, 0.5675, 2.4252]], "species": ["I", "I", "Ni", "Zn", "Zn"], "frac_coords": [[0.7500, 0.2500, 0.5000], [0.2500, 0.7500, 0.5000], [0.0000, 0.0000, 0.0000], [0.3400, 0.3400, 0.3199], [0.6600, 0.6600, 0.6801]], "space_group": "I4/mmm, No. 139", "formation_energy_uncorrected_ev_per_fu": 2.02, "e_tot_ev_per_atom": -1.881}